[1]
TaTe2Br | PBE | optimized geometry

The formation energy without anion corrections comes out at -0.194 eV/atom. As for the total magnetization: 0.000 Bohr magnetons per cell. As for the space group: R-3m (166).

Cell lengths 9.5711, 9.5711, 9.5711 Å; angles 22.86, 22.86, 22.86 degrees
Fractional positions:
Ta1 0.0000 0.0000 0.0000
Te1 0.3964 0.3964 0.3964
Te2 0.6036 0.6036 0.6036
Br1 0.5000 0.5000 0.5000

=====

[2]
TaTeBr4 | PBE | optimized geometry

The formation energy without anion corrections comes out at 1.175 eV/atom. As for the total magnetization: 1.498 Bohr magnetons per cell. As for the space group: F-43m (216).

Cell lengths 6.0280, 6.0280, 6.0280 Å; angles 60.00, 60.00, 60.00 degrees
Fractional positions:
Ta1 0.0000 0.0000 0.0000
Te1 0.7500 0.7500 0.7500
Br1 0.3743 0.3743 0.3743
Br2 0.3743 0.3743 0.8771
Br3 0.3743 0.8771 0.3743
Br4 0.8771 0.3743 0.3743

=====

[3]
TaTe2Br | PBE | optimized geometry

The formation energy without anion corrections comes out at 0.145 eV/atom. As for the total magnetization: 0.000 Bohr magnetons per cell. As for the space group: I-42d (122).

Cell lengths 7.6072, 7.6072, 7.6072 Å; angles 121.87, 121.87, 86.79 degrees
Fractional positions:
Ta1 0.0000 0.0000 0.0000
Ta2 0.7500 0.2500 0.5000
Te1 0.0492 0.6250 0.9242
Te2 0.3750 0.2992 0.4242
Te3 0.7008 0.1250 0.0758
Te4 0.8750 0.9508 0.5758
Br1 0.2500 0.7500 0.5000
Br2 0.5000 0.5000 0.0000